Entry 1:
First-principles (PBE) data for an optimized crystal structure of K3Hg3Au, as listed in the Alexandria database.

Summary:
**E_form**: -1.96 eV/f.u.
**N(E_F)**: 0.360 states/eV per atom

a b c (Å): 4.913 6.602 16.541
angles (deg): 84.90 81.46 68.16
Positions (direct):
Hg  0.147  0.244  0.462
K  0.609  0.702  0.080
Hg  0.853  0.756  0.538
Hg  0.038  0.160  0.764
Hg  0.962  0.840  0.236
K  0.391  0.298  0.920
Hg  0.896  0.128  0.080
Hg  0.104  0.872  0.920
K  0.530  0.332  0.608
Au  0.769  0.076  0.385
Au  0.231  0.924  0.615
K  0.248  0.260  0.244
K  0.752  0.740  0.756
K  0.470  0.668  0.392

---

Entry 2:
First-principles (PBE) data for an optimized crystal structure of Pr2Dy12Y5, as listed in the Alexandria database.

Summary:
**E_form**: 2.47 eV/f.u.
**N(E_F)**: 1.478 states/eV per atom

a b c (Å): 9.204 12.452 8.560
angles (deg): 132.42 90.00 111.69
Positions (direct):
Dy  0.434  0.252  0.599
Dy  0.662  0.687  0.933
Dy  0.906  0.811  0.696
Dy  0.025  0.687  0.933
Pr  0.314  0.000  0.000
Y  0.000  0.000  0.500
Y  0.233  0.466  0.890
Dy  0.094  0.189  0.304
Dy  0.182  0.748  0.401
Dy  0.818  0.252  0.599
Dy  0.443  0.886  0.217
Dy  0.338  0.313  0.067
Dy  0.557  0.114  0.783
Dy  0.566  0.748  0.401
Y  0.302  0.605  0.613
Dy  0.975  0.313  0.067
Pr  0.686  0.000  0.000
Y  0.767  0.534  0.110
Y  0.698  0.395  0.387

---

Entry 3:
First-principles (PBE) data for an optimized crystal structure of In2MoPt, as listed in the Alexandria database.

Summary:
**E_form**: -0.06 eV/f.u.
**N(E_F)**: 0.195 states/eV per atom

a b c (Å): 5.545 5.545 5.054
angles (deg): 68.99 68.99 30.97
Positions (direct):
In  0.984  0.984  0.075
Mo  0.519  0.519  0.566
In  0.767  0.767  0.674
Pt  0.229  0.229  0.185

---

Entry 4:
First-principles (PBE) data for an optimized crystal structure of Dy2Ho6Se3, as listed in the Alexandria database.

Summary:
**ΔE_f (raw)**: -0.872 eV/atom
**N(E_F)**: 1.001 states/eV per atom

a b c (Å): 3.772 3.772 25.199
angles (deg): 85.71 85.71 60.00
Positions (direct):
Se  0.000  0.000  0.000
Se  0.285  0.285  0.145
Ho  0.358  0.358  0.927
Se  0.715  0.715  0.855
Ho  0.815  0.815  0.555
Ho  0.926  0.926  0.221
Ho  0.074  0.074  0.779
Dy  0.444  0.444  0.668
Ho  0.642  0.642  0.073
Ho  0.185  0.185  0.445
Dy  0.556  0.556  0.332

---

Copy entry 4 word for word.
First-principles (PBE) data for an optimized crystal structure of Dy2Ho6Se3, as listed in the Alexandria database.

Summary:
**ΔE_f (raw)**: -0.872 eV/atom
**N(E_F)**: 1.001 states/eV per atom

a b c (Å): 3.772 3.772 25.199
angles (deg): 85.71 85.71 60.00
Positions (direct):
Se  0.000  0.000  0.000
Se  0.285  0.285  0.145
Ho  0.358  0.358  0.927
Se  0.715  0.715  0.855
Ho  0.815  0.815  0.555
Ho  0.926  0.926  0.221
Ho  0.074  0.074  0.779
Dy  0.444  0.444  0.668
Ho  0.642  0.642  0.073
Ho  0.185  0.185  0.445
Dy  0.556  0.556  0.332

---

Which value of N(E_F) does entry 3 give? 0.195 states/eV per atom

---

Copy entry 1 word for word.
First-principles (PBE) data for an optimized crystal structure of K3Hg3Au, as listed in the Alexandria database.

Summary:
**E_form**: -1.96 eV/f.u.
**N(E_F)**: 0.360 states/eV per atom

a b c (Å): 4.913 6.602 16.541
angles (deg): 84.90 81.46 68.16
Positions (direct):
Hg  0.147  0.244  0.462
K  0.609  0.702  0.080
Hg  0.853  0.756  0.538
Hg  0.038  0.160  0.764
Hg  0.962  0.840  0.236
K  0.391  0.298  0.920
Hg  0.896  0.128  0.080
Hg  0.104  0.872  0.920
K  0.530  0.332  0.608
Au  0.769  0.076  0.385
Au  0.231  0.924  0.615
K  0.248  0.260  0.244
K  0.752  0.740  0.756
K  0.470  0.668  0.392

---

Which value of N(E_F) does entry 2 give? 1.478 states/eV per atom